1.
Here is an optimized crystal structure of CrGaCuO4 from Alexandria via LeMat-Bulk. Energies are from GGA+U.

Lattice parameters (Å, degrees): 5.978 5.978 5.978 120.21 120.18 89.66
Element x y z (fractional)
1 Cr 0.000 0.000 0.000
2 Cr 0.500 0.000 0.500
3 Ga 0.500 0.000 0.000
4 Ga 0.500 0.500 0.500
5 Cu 0.125 0.375 0.750
6 Cu 0.875 0.625 0.250
7 O 0.261 0.238 0.023
8 O 0.263 0.240 0.477
9 O 0.263 0.786 0.023
10 O 0.286 0.762 0.523
11 O 0.714 0.238 0.477
12 O 0.737 0.214 0.977
13 O 0.737 0.760 0.523
14 O 0.739 0.762 0.977

Summary:
- symmetry = Imma

***

2.
Here is an optimized crystal structure of CrGaCuO2 from Alexandria via LeMat-Bulk. Energies are from GGA+U.

Lattice parameters (Å, degrees): 3.832 3.832 4.830 90.00 90.00 90.00
Element x y z (fractional)
1 Cr 0.000 0.000 0.000
2 Ga 0.500 0.500 0.000
3 Cu 0.000 0.000 0.500
4 O 0.000 0.500 0.500
5 O 0.500 0.000 0.500

Summary:
- symmetry = P4/mmm

***

For reference, DOS at the Fermi energy by record: 9.26 2.39 states/eV per cell.
For reference, total moment by record: 2.00 4.99 μB/f.u..
For reference, E_tot by record: -6.4057 -4.7346 eV/atom.